DFT (GGA-PBE) results for a geometry-optimized Ti2VRh structure.

It has space group I-42d (No. 122), with a = 6.920 Å, b = 6.920 Å, c = 5.355 Å, α = 90.00°, β = 90.00° and γ = 90.00°. Symmetry generates all atoms from Ti at (0.234, 0.250, 0.125), V at (0.000, 0.000, 0.500) and Rh at (0.000, 0.000, 0.000).

The distance to the lowest polymorph of the same formula comes out at 530 meV per atom. Its electronic total energy is -7.983 eV per atom. As for the calculated formation energy: 0.0820 eV/atom.


DFT (GGA-PBE) results for a geometry-optimized Tm2AlGa2Pd5 structure.

It has space group P4/mbm (No. 127), with a = 10.046 Å, b = 10.046 Å, c = 3.481 Å, α = 90.00°, β = 90.00° and γ = 90.00°. Symmetry generates all atoms from Tm at (0.174, 0.326, 0.000), Al at (0.000, 0.000, 0.000), Ga at (0.128, 0.628, 0.000), Pd at (0.000, 0.500, 0.500) and Pd at (0.048, 0.800, 0.500).

Its electronic total energy is -5.250 eV per atom. As for the calculated formation energy: -0.7800 eV/atom.


DFT (GGA-PBE) results for a geometry-optimized HfSnRu2 structure.

It has space group P4/mmm (No. 123), with a = 4.498 Å, b = 4.498 Å, c = 3.309 Å, α = 90.00°, β = 90.00° and γ = 90.00°. Symmetry generates all atoms from Hf at (0.000, 0.000, 0.000), Sn at (0.500, 0.500, 0.000) and Ru at (0.000, 0.500, 0.500).

Its electronic total energy is -8.707 eV per atom. As for the calculated formation energy: -0.5799 eV/atom.


DFT (GGA-PBE) results for a geometry-optimized PuHAu structure.

It has space group I4mm (No. 107), with a = 4.132 Å, b = 4.132 Å, c = 7.191 Å, α = 90.00°, β = 90.00° and γ = 90.00°. Symmetry generates all atoms from Pu at (0.000, 0.000, 0.000), H at (0.000, 0.000, 0.674) and Au at (0.000, 0.000, 0.421).

The distance to the lowest polymorph of the same formula comes out at 439 meV per atom. Its electronic total energy is -6.954 eV per atom.


DFT (GGA-PBE) results for a geometry-optimized Y2Er2Ga4Si structure.

It has space group I4/mmm (No. 139), with a = 6.917 Å, b = 6.917 Å, c = 8.693 Å, α = 90.00°, β = 90.00° and γ = 90.00°. Symmetry generates all atoms from Y at (0.000, 0.500, 0.250), Er at (0.000, 0.000, 0.194), Ga at (0.250, 0.250, 0.000) and Si at (0.000, 0.000, 0.500).

Its electronic total energy is -4.711 eV per atom.


DFT (GGA-PBE) results for a geometry-optimized SmYMgSi structure.

It has space group F-43m (No. 216), with a = 7.271 Å, b = 7.271 Å, c = 7.271 Å, α = 90.00°, β = 90.00° and γ = 90.00°. Symmetry generates all atoms from Sm at (0.000, 0.000, 0.000), Y at (0.000, 0.000, 0.500), Mg at (0.250, 0.250, 0.250) and Si at (0.250, 0.250, 0.750).

Its electronic total energy is -4.846 eV per atom.


DFT (GGA-PBE) results for a geometry-optimized Hf3SiGe2 structure.

It has space group Pnma (No. 62), with a = 10.986 Å, b = 3.840 Å, c = 10.414 Å, α = 90.00°, β = 90.00° and γ = 90.00°. Symmetry generates all atoms from Hf at (0.044, 0.250, 0.119), Hf at (0.119, 0.750, 0.559), Hf at (0.228, 0.250, 0.785), Si at (0.124, 0.250, 0.374), Ge at (0.002, 0.750, 0.298) and Ge at (0.188, 0.750, 0.006).

Its electronic total energy is -7.980 eV per atom.


DFT (GGA-PBE) results for a geometry-optimized PuPa2NiN4 structure.

It has space group Cmcm (No. 63), with a = 3.491 Å, b = 11.438 Å, c = 11.383 Å, α = 90.00°, β = 90.00° and γ = 90.00°. Symmetry generates all atoms from Pu at (0.000, 0.106, 0.250), Pa at (0.000, 0.369, 0.061), Ni at (0.000, 0.162, 0.750), N at (0.000, 0.000, 0.000), N at (0.000, 0.268, 0.612) and N at (0.000, 0.450, 0.250).

Its electronic total energy is -10.289 eV per atom.


DFT (GGA-PBE) results for a geometry-optimized La2PPd3 structure.

It has space group Fmmm (No. 69), with a = 7.880 Å, b = 8.768 Å, c = 15.387 Å, α = 90.00°, β = 90.00° and γ = 90.00°. Symmetry generates all atoms from La at (0.249, 0.000, 0.000), La at (0.250, 0.250, 0.250), P at (0.000, 0.000, 0.334), Pd at (0.000, 0.000, 0.178) and Pd at (0.000, 0.236, 0.412).

Its electronic total energy is -6.140 eV per atom. As for the calculated formation energy: -0.9994 eV/atom.


DFT (GGA-PBE) results for a geometry-optimized RbRh structure.

It has space group Fddd (No. 70, origin choice 2), with a = 6.262 Å, b = 9.521 Å, c = 15.309 Å, α = 90.00°, β = 90.00° and γ = 90.00°. Symmetry generates all atoms from Rb at (0.125, 0.291, 0.125) and Rh at (0.125, 0.125, 0.545).

Its electronic total energy is -3.338 eV per atom. As for the calculated formation energy: 0.8218 eV/atom.


DFT (GGA-PBE) results for a geometry-optimized Ni3SbH structure.

It has space group Pm-3m (No. 221), with a = 3.783 Å, b = 3.783 Å, c = 3.783 Å, α = 90.00°, β = 90.00° and γ = 90.00°. Symmetry generates all atoms from Ni at (0.000, 0.000, 0.500), Sb at (0.500, 0.500, 0.500) and H at (0.000, 0.000, 0.000).

The distance to the lowest polymorph of the same formula comes out at 0 meV per atom. Its electronic total energy is -5.089 eV per atom.


DFT (GGA-PBE) results for a geometry-optimized GaSn2Pt structure.

It has space group I-42d (No. 122), with a = 4.789 Å, b = 4.789 Å, c = 16.920 Å, α = 90.00°, β = 90.00° and γ = 90.00°. Symmetry generates all atoms from Ga at (0.000, 0.000, 0.000), Sn at (0.222, 0.250, 0.625) and Pt at (0.000, 0.000, 0.500).

Its electronic total energy is -4.297 eV per atom. As for the calculated formation energy: -0.0289 eV/atom.